## i
Below is a geometry-optimized CeSmGaGe structure, with properties calculated at the PBE-GGA level.

Calculated values
- Total moment: 1.3 μB/f.u.
- DOS at the Fermi energy: 7.030 states/eV per cell

abc: 4.4062 4.0771 5.9898
angles: 90.00 111.58 90.00
Closest atoms and distances in Å follow each position.
Element x y z (fractional)
Sm 0.1407 0.0000 0.2815  4 Ge 3.09, 3 Ga 3.18-3.25
Ge 0.5754 0.5000 0.1508  2 Ga 2.63
Ce 0.8579 0.5000 0.7157  4 Ga 3.10, 3 Ge 3.15-3.28
Ga 0.4260 0.0000 0.8520  2 Ge 2.63



## ii
Below is a geometry-optimized CeSmGaGe structure, with properties calculated at the PBE-GGA level.

Calculated values
- Total moment: 1.1 μB/f.u.
- DOS at the Fermi energy: 7.175 states/eV per cell

abc: 5.1577 5.1577 5.1577
angles: 60.00 60.00 60.00
Closest atoms and distances in Å follow each position.
Element x y z (fractional)
Sm 0.5000 0.5000 0.5000  4 Ge 3.16, 4 Ga 3.16
Ge 0.2500 0.2500 0.2500  4 Ce 3.16, 4 Sm 3.16
Ga 0.7500 0.7500 0.7500  4 Ce 3.16, 4 Sm 3.16
Ce 0.0000 0.0000 0.0000  4 Ge 3.16, 4 Ga 3.16



Preferred: i; penalty for the next structure: 135 meV per atom.



## i
Below is a geometry-optimized CeTmGaGe structure, with properties calculated at the PBE-GGA level.

Calculated values
- Total moment: 0.9 μB/f.u.
- DOS at the Fermi energy: 5.999 states/eV per cell

abc: 5.0678 5.0678 5.0678
angles: 60.00 60.00 60.00
Closest atoms and distances in Å follow each position.
Element x y z (fractional)
Ga 0.7500 0.7500 0.7500  4 Tm 3.10, 4 Ce 3.10
Ge 0.2500 0.2500 0.2500  4 Ce 3.10, 4 Tm 3.10
Ce 0.5000 0.5000 0.5000  4 Ge 3.10, 4 Ga 3.10
Tm 0.0000 0.0000 0.0000  4 Ge 3.10, 4 Ga 3.10



## ii
Below is a geometry-optimized CeTmGaGe structure, with properties calculated at the PBE-GGA level.

Calculated values
- Total moment: 1.1 μB/f.u.
- DOS at the Fermi energy: 6.766 states/eV per cell

abc: 4.3396 4.0202 5.8667
angles: 90.00 111.71 90.00
Closest atoms and distances in Å follow each position.
Element x y z (fractional)
Tm 0.8620 0.5000 0.7239  4 Ge 3.03, 3 Ga 3.12-3.18
Ce 0.1422 0.0000 0.2845  3 Ge 3.03-3.25, 4 Ga 3.05
Ge 0.4203 0.0000 0.8406  2 Ga 2.63
Ga 0.5755 0.5000 0.1510  2 Ge 2.63



Preferred: ii; penalty for the next structure: 111 meV per atom.